# 1
Li2PaF6 (PBE, optimized geometry); total magnetization = 0.346 μB/f.u.; VASP energy = -165.90 eV/cell; theoretical density = 4856 kg/m³; space-group type = No. 164; uncorrected formation energy = -3.417 eV per atom
1.0
-0.0595 -1.5073 4.7134
-3.2341 -8.2617 -2.6829
9.1391 1.4354 0.5744
Pa F Li
3 18 6
Direct
0.0000 0.0000 0.0000
0.5054 0.3333 0.6667
0.4946 0.6667 0.3333
0.7675 0.4473 0.5527
0.7924 0.1212 0.2423
0.2346 0.5523 0.7762
0.7654 0.7762 0.2238
0.7675 0.1054 0.5527
0.2346 0.2238 0.4477
0.7675 0.4473 0.8946
0.2346 0.2238 0.7762
0.2325 0.5527 0.4473
0.2076 0.8788 0.1212
0.7654 0.4477 0.2238
0.7924 0.1212 0.8788
0.7654 0.7762 0.5523
0.2076 0.8788 0.7577
0.2076 0.2423 0.1212
0.2325 0.5527 0.1054
0.2325 0.8946 0.4473
0.7924 0.7577 0.8788
0.0000 0.6503 0.6503
0.0000 0.3497 0.0000
0.0000 0.3497 0.3497
0.0000 0.0000 0.3497
0.0000 0.0000 0.6503
0.0000 0.6503 0.0000

# 2
Li3PaF9 (PBE, optimized geometry); total magnetization = 1.000 μB/f.u.; VASP energy = -143.02 eV/cell; theoretical density = 3529 kg/m³; space-group type = No. 20; uncorrected formation energy = -3.033 eV per atom
1.0
7.3243 1.2896 0.0000
-0.6566 7.4079 0.0000
0.0000 0.0000 7.2218
Li F Pa
6 18 2
Direct
0.1845 0.8542 0.4897
0.8155 0.1458 0.9897
0.2219 0.2219 0.0000
0.8542 0.1845 0.5103
0.7781 0.7781 0.5000
0.1458 0.8155 0.0103
0.3212 0.6166 0.4629
0.7691 0.9979 0.3755
0.6341 0.6952 0.7095
0.6788 0.3834 0.9629
0.2309 0.0021 0.8755
0.3834 0.6788 0.0371
0.9514 0.6555 0.9928
0.9127 0.0873 0.7500
0.0021 0.2309 0.1245
0.6166 0.3212 0.5371
0.3445 0.0486 0.5072
0.6555 0.9514 0.0072
0.6952 0.6341 0.2905
0.9979 0.7691 0.6245
0.3659 0.3048 0.2095
0.0486 0.3445 0.4928
0.3048 0.3659 0.7905
0.0873 0.9127 0.2500
0.3335 0.3335 0.5000
0.6665 0.6665 0.0000

# 3
Li4PaF8 (PBE, optimized geometry); total magnetization = 1.000 μB/f.u.; VASP energy = -71.25 eV/cell; theoretical density = 4222 kg/m³; space-group type = No. 216; uncorrected formation energy = -3.010 eV per atom
1.0
-0.7290 2.4443 5.5558
-5.4676 2.1378 1.7055
-3.2543 -2.9657 4.2412
Li F Pa
4 8 1
Direct
0.3581 0.3581 0.3581
0.3581 0.9258 0.3581
0.3581 0.3581 0.9258
0.9258 0.3581 0.3581
0.6088 0.6088 0.1737
0.6088 0.1737 0.6088
0.5913 0.1362 0.1362
0.1362 0.5913 0.1362
0.6088 0.6088 0.6088
0.1737 0.6088 0.6088
0.1362 0.1362 0.5913
0.1362 0.1362 0.1362
0.7500 0.7500 0.7500

# 4
LiPaF4 (PBE, optimized geometry); total magnetization = 2.001 μB/f.u.; VASP energy = -37.50 eV/cell; theoretical density = 5877 kg/m³; space-group type = No. 82; uncorrected formation energy = -3.101 eV per atom
1.0
-2.0530 -5.1601 -1.1490
5.2844 -1.9693 -0.5979
-1.5452 2.9386 3.5590
F Pa Li
4 1 1
Direct
0.0013 0.0295 0.5710
0.4585 0.9987 0.4290
0.5697 0.5415 0.5710
0.9705 0.4303 0.4290
0.5000 0.5000 0.0000
0.7500 0.2500 0.5000

# 5
Li2PaF8 (PBE, optimized geometry); total magnetization = 1.125 μB/f.u.; VASP energy = -62.21 eV/cell; theoretical density = 3948 kg/m³; space-group type = No. 97; uncorrected formation energy = -3.083 eV per atom
1.0
-2.3700 2.0809 4.6658
-3.5963 -4.3327 0.1055
6.3740 -1.6169 0.5600
F Li Pa
8 2 1
Direct
0.0854 0.5100 0.7593
0.4900 0.9146 0.2407
0.6739 0.2493 0.7593
0.5100 0.6739 0.7593
0.7507 0.3261 0.2407
0.3261 0.4900 0.2407
0.2493 0.0854 0.7593
0.9146 0.7507 0.2407
0.7500 0.2500 0.5000
0.2500 0.7500 0.5000
0.5000 0.5000 0.0000

# 6
Li6PaF12 (PBE, optimized geometry); total magnetization = 1.131 μB/f.u.; VASP energy = -99.21 eV/cell; theoretical density = 4405 kg/m³; space-group type = No. 148; uncorrected formation energy = -2.936 eV per atom
1.0
-3.0181 1.1209 -5.4383
3.4885 -5.2479 -0.4792
-4.1552 -0.5634 4.7283
F Li Pa
12 6 1
Direct
0.1321 0.9562 0.6867
0.4410 0.3506 0.1569
0.9562 0.6867 0.1321
0.8431 0.5590 0.6494
0.1569 0.4410 0.3506
0.6867 0.1321 0.9562
0.6494 0.8431 0.5590
0.5590 0.6494 0.8431
0.0438 0.3133 0.8679
0.3133 0.8679 0.0438
0.8679 0.0438 0.3133
0.3506 0.1569 0.4410
0.2767 0.6587 0.2127
0.2127 0.2767 0.6587
0.3413 0.7873 0.7233
0.7233 0.3413 0.7873
0.6587 0.2127 0.2767
0.7873 0.7233 0.3413
0.0000 0.0000 0.0000

# 7
LiPa2F8 (PBE, optimized geometry); total magnetization = 3.000 μB/f.u.; VASP energy = -74.48 eV/cell; theoretical density = 6514 kg/m³; space-group type = No. 12; uncorrected formation energy = -3.510 eV per atom
1.0
0.4694 2.8772 3.1135
-5.1823 1.8417 -3.4086
-5.0620 -3.6696 1.6663
F Li Pa
8 1 2
Direct
0.8057 0.5649 0.5649
0.1943 0.4351 0.4351
0.0690 0.8127 0.8127
0.6557 0.0795 0.6770
0.9310 0.1873 0.1873
0.6557 0.6770 0.0795
0.3443 0.9205 0.3230
0.3443 0.3230 0.9205
0.0000 0.0000 0.0000
0.4163 0.6864 0.6864
0.5837 0.3136 0.3136

# 8
LiPa2F8 (PBE, optimized geometry); total magnetization = 3.000 μB/f.u.; VASP energy = -74.55 eV/cell; theoretical density = 5747 kg/m³; space-group type = No. 12; uncorrected formation energy = -3.516 eV per atom
1.0
-2.8941 3.2170 -1.3990
-1.9450 -4.6507 -4.2931
-2.6102 -0.7564 6.0380
Pa F Li
2 8 1
Direct
0.5457 0.3280 0.6779
0.5457 0.6779 0.3280
0.2722 0.4029 0.4029
0.5828 0.0501 0.3238
0.5078 0.9561 0.6823
0.5828 0.3238 0.0501
0.0457 0.2754 0.7308
0.5078 0.6823 0.9561
0.8189 0.6038 0.6038
0.0457 0.7308 0.2754
0.5448 0.0028 0.0028